# 1
Entry from the Alexandria database: SrMnHg2 at its PBEsol-relaxed geometry (meta-GGA SCAN).

abc: 3.729 3.729 7.053
angles: 90.00 90.00 90.00
Space group P4mm (No. 99)
Asymmetric unit:
Sr 0.000 0.000 0.000 x1
Mn 0.500 0.500 0.666 x1
Hg 0.000 0.000 0.532 x1
Hg 0.500 0.500 0.273 x1

Results
DOS at the Fermi energy: 2.12 states/eV per cell
energy: -44.424 eV per atom

---

# 2
Entry from the Alexandria database: SrMn2Hg at its PBEsol-relaxed geometry (meta-GGA SCAN).

abc: 4.5693 4.5693 15.9439
angles: 90.00 90.00 120.00
Space group R-3m (No. 166, hexagonal axes)
Asymmetric unit:
Sr 0.0000 0.0000 0.0000 x3
Mn 0.0000 0.0000 0.2002 x6
Hg 0.0000 0.0000 0.5000 x3

Results
DOS at the Fermi energy: 8.08 states/eV per cell
energy: -31.774 eV per atom

---

# 3
Entry from the Alexandria database: SrMnHg2 at its PBEsol-relaxed geometry (meta-GGA SCAN).

abc: 5.080 5.131 7.224
angles: 90.00 90.00 90.00
Space group Immm (No. 71)
Asymmetric unit:
Sr 0.000 0.000 0.000 x2
Mn 0.000 0.000 0.500 x2
Hg 0.000 0.500 0.247 x4

Results
DOS at the Fermi energy: 4.02 states/eV per cell
energy: -44.539 eV per atom

---

One value per record, in order, for formation enthalpy at 0 K: -208.7; -36.5; -323.1 meV per atom.